1.
# PrCuNi PBE-GGA optimized geometry
data_PrCuNi
_chemical_formula_sum 'Pr4 Cu4 Ni4'
_symmetry_space_group_name_H-M 'I m m m'
_symmetry_Int_Tables_number 71
_symmetry_space_group_name_Hall '-I 2 2'
_cell_length_a 4.184
_cell_length_b 7.264
_cell_length_c 7.742
_cell_angle_alpha 90.00
_cell_angle_beta 90.00
_cell_angle_gamma 90.00
loop_
_atom_site_label
_atom_site_fract_x
_atom_site_fract_y
_atom_site_fract_z
_atom_site_occupancy
Pr1 0.000 0.000 0.248 1
Cu1 0.000 0.331 0.000 1
Ni1 0.000 0.337 0.500 1
# Crystal system: orthorhombic
# Formation energy (eV per atom): -0.25
# DFT total energy (eV for the cell shown): -61.6

2.
# Pr2CuNi3 PBE-GGA optimized geometry
data_Pr2CuNi3
_chemical_formula_sum 'Pr16 Cu8 Ni24'
_symmetry_space_group_name_H-M 'F m m m'
_symmetry_Int_Tables_number 69
_symmetry_space_group_name_Hall '-F 2 2'
_cell_length_a 7.878
_cell_length_b 8.218
_cell_length_c 14.291
_cell_angle_alpha 90.00
_cell_angle_beta 90.00
_cell_angle_gamma 90.00
loop_
_atom_site_label
_atom_site_fract_x
_atom_site_fract_y
_atom_site_fract_z
_atom_site_occupancy
Pr1 0.250 0.000 0.000 1
Pr2 0.250 0.250 0.250 1
Cu1 0.000 0.000 0.167 1
Ni1 0.000 0.000 0.335 1
Ni2 0.000 0.246 0.418 1
# Crystal system: orthorhombic
# Formation energy (eV per atom): -0.27
# DFT total energy (eV for the cell shown): -260.8

3.
# Pr3Cu2Ni4 PBE-GGA optimized geometry
data_Pr3Cu2Ni4
_chemical_formula_sum 'Pr6 Cu4 Ni8'
_symmetry_space_group_name_H-M 'C 1 2/m 1'
_symmetry_Int_Tables_number 12
_symmetry_space_group_name_Hall '-C 2y'
_cell_length_a 9.890
_cell_length_b 4.186
_cell_length_c 8.286
_cell_angle_alpha 90.00
_cell_angle_beta 100.94
_cell_angle_gamma 90.00
loop_
_atom_site_label
_atom_site_fract_x
_atom_site_fract_y
_atom_site_fract_z
_atom_site_occupancy
Pr1 0.000 0.000 0.000 1
Pr2 0.121 0.500 0.375 1
Cu1 0.184 0.500 0.778 1
Ni1 0.087 0.000 0.635 1
Ni2 0.237 0.500 0.082 1
# Crystal system: monoclinic
# Formation energy (eV per atom): -0.26
# DFT total energy (eV for the cell shown): -96.0

4.
# Pr4Cu3Ni PBE-GGA optimized geometry
data_Pr4Cu3Ni
_chemical_formula_sum 'Pr4 Cu3 Ni1'
_symmetry_space_group_name_H-M 'P m m 2'
_symmetry_Int_Tables_number 25
_symmetry_space_group_name_Hall 'P 2 -2'
_cell_length_a 3.941
_cell_length_b 4.501
_cell_length_c 10.767
_cell_angle_alpha 90.00
_cell_angle_beta 90.00
_cell_angle_gamma 90.00
loop_
_atom_site_label
_atom_site_fract_x
_atom_site_fract_y
_atom_site_fract_z
_atom_site_occupancy
Pr1 0.000 0.000 0.000 1
Pr2 0.000 0.500 0.273 1
Pr3 0.500 0.000 0.486 1
Pr4 0.500 0.500 0.776 1
Cu1 0.000 0.000 0.697 1
Cu2 0.000 0.500 0.567 1
Cu3 0.500 0.500 0.069 1
Ni1 0.500 0.000 0.200 1
# Crystal system: orthorhombic
# Formation energy (eV per atom): -0.20
# DFT total energy (eV for the cell shown): -38.8

5.
# Pr3Cu3Ni8 PBE-GGA optimized geometry
data_Pr3Cu3Ni8
_chemical_formula_sum 'Pr6 Cu6 Ni16'
_symmetry_space_group_name_H-M 'I m m m'
_symmetry_Int_Tables_number 71
_symmetry_space_group_name_Hall '-I 2 2'
_cell_length_a 4.053
_cell_length_b 9.105
_cell_length_c 12.218
_cell_angle_alpha 90.00
_cell_angle_beta 90.00
_cell_angle_gamma 90.00
loop_
_atom_site_label
_atom_site_fract_x
_atom_site_fract_y
_atom_site_fract_z
_atom_site_occupancy
Pr1 0.000 0.000 0.000 1
Pr2 0.000 0.000 0.305 1
Cu1 0.000 0.218 0.500 1
Cu2 0.000 0.500 0.000 1
Ni1 0.000 0.272 0.108 1
Ni2 0.000 0.313 0.305 1
# Crystal system: orthorhombic
# Formation energy (eV per atom): -0.19
# DFT total energy (eV for the cell shown): -151.0

6.
# PrCuNi PBE-GGA optimized geometry
data_PrCuNi
_chemical_formula_sum 'Pr4 Cu4 Ni4'
_symmetry_space_group_name_H-M 'C 1 m 1'
_symmetry_Int_Tables_number 8
_symmetry_space_group_name_Hall 'C -2y'
_cell_length_a 15.123
_cell_length_b 4.029
_cell_length_c 4.029
_cell_angle_alpha 90.00
_cell_angle_beta 105.37
_cell_angle_gamma 90.00
loop_
_atom_site_label
_atom_site_fract_x
_atom_site_fract_y
_atom_site_fract_z
_atom_site_occupancy
Pr1 0.000 0.000 0.000 1
Pr2 0.250 0.000 0.750 1
Cu1 0.166 0.500 0.166 1
Cu2 0.416 0.000 0.416 1
Ni1 0.080 0.500 0.580 1
Ni2 0.330 0.500 0.329 1
# Crystal system: monoclinic
# Formation energy (eV per atom): -0.24
# DFT total energy (eV for the cell shown): -61.5

7.
# PrCu4Ni PBE-GGA optimized geometry
data_PrCu4Ni
_chemical_formula_sum 'Pr2 Cu8 Ni2'
_symmetry_space_group_name_H-M 'P m m a'
_symmetry_Int_Tables_number 51
_symmetry_space_group_name_Hall '-P 2a 2a'
_cell_length_a 7.298
_cell_length_b 3.856
_cell_length_c 6.773
_cell_angle_alpha 90.00
_cell_angle_beta 90.00
_cell_angle_gamma 90.00
loop_
_atom_site_label
_atom_site_fract_x
_atom_site_fract_y
_atom_site_fract_z
_atom_site_occupancy
Pr1 0.250 0.000 0.104 1
Cu1 0.000 0.000 0.500 1
Cu2 0.051 0.500 0.767 1
Cu3 0.250 0.500 0.461 1
Ni1 0.250 0.000 0.716 1
# Crystal system: orthorhombic
# Formation energy (eV per atom): -0.06
# DFT total energy (eV for the cell shown): -54.6

8.
# Pr3CuNi PBE-GGA optimized geometry
data_Pr3CuNi
_chemical_formula_sum 'Pr12 Cu4 Ni4'
_symmetry_space_group_name_H-M 'P 1 21/c 1'
_symmetry_Int_Tables_number 14
_symmetry_space_group_name_Hall '-P 2ybc'
_cell_length_a 9.095
_cell_length_b 7.358
_cell_length_c 8.318
_cell_angle_alpha 90.00
_cell_angle_beta 106.89
_cell_angle_gamma 90.00
loop_
_atom_site_label
_atom_site_fract_x
_atom_site_fract_y
_atom_site_fract_z
_atom_site_occupancy
Pr1 0.068 0.000 0.217 1
Pr2 0.308 0.156 0.621 1
Pr3 0.351 0.680 0.498 1
Cu1 0.056 0.662 0.031 1
Ni1 0.417 0.035 0.339 1
# Crystal system: monoclinic
# Formation energy (eV per atom): -0.14
# DFT total energy (eV for the cell shown): -99.6

9.
# PrCuNi4 PBE-GGA optimized geometry
data_PrCuNi4
_chemical_formula_sum 'Pr4 Cu4 Ni16'
_symmetry_space_group_name_H-M 'F -4 3 m'
_symmetry_Int_Tables_number 216
_symmetry_space_group_name_Hall 'F -4 2 3'
_cell_length_a 6.999
_cell_length_b 6.999
_cell_length_c 6.999
_cell_angle_alpha 90.00
_cell_angle_beta 90.00
_cell_angle_gamma 90.00
loop_
_atom_site_label
_atom_site_fract_x
_atom_site_fract_y
_atom_site_fract_z
_atom_site_occupancy
Pr1 0.000 0.000 0.000 1
Cu1 0.250 0.250 0.750 1
Ni1 0.124 0.124 0.376 1
# Crystal system: cubic
# Formation energy (eV per atom): -0.16
# DFT total energy (eV for the cell shown): -132.0

10.
# Pr5Cu2Ni5 PBE-GGA optimized geometry
data_Pr5Cu2Ni5
_chemical_formula_sum 'Pr10 Cu4 Ni10'
_symmetry_space_group_name_H-M 'C 1 2/m 1'
_symmetry_Int_Tables_number 12
_symmetry_space_group_name_Hall '-C 2y'
_cell_length_a 14.734
_cell_length_b 3.949
_cell_length_c 11.150
_cell_angle_alpha 90.00
_cell_angle_beta 129.11
_cell_angle_gamma 90.00
loop_
_atom_site_label
_atom_site_fract_x
_atom_site_fract_y
_atom_site_fract_z
_atom_site_occupancy
Pr1 0.000 0.000 0.000 1
Pr2 0.102 0.000 0.420 1
Pr3 0.199 0.000 0.827 1
Cu1 0.149 0.500 0.264 1
Ni1 0.000 0.500 0.500 1
Ni2 0.062 0.500 0.852 1
Ni3 0.226 0.500 0.664 1
# Crystal system: monoclinic
# Formation energy (eV per atom): -0.22
# DFT total energy (eV for the cell shown): -127.2

11.
# Pr2Cu3Ni2 PBE-GGA optimized geometry
data_Pr2Cu3Ni2
_chemical_formula_sum 'Pr4 Cu6 Ni4'
_symmetry_space_group_name_H-M 'C 1 2/m 1'
_symmetry_Int_Tables_number 12
_symmetry_space_group_name_Hall '-C 2y'
_cell_length_a 9.638
_cell_length_b 4.224
_cell_length_c 6.334
_cell_angle_alpha 90.00
_cell_angle_beta 105.30
_cell_angle_gamma 90.00
loop_
_atom_site_label
_atom_site_fract_x
_atom_site_fract_y
_atom_site_fract_z
_atom_site_occupancy
Pr1 0.115 0.000 0.326 1
Cu1 0.000 0.500 0.000 1
Cu2 0.215 0.000 0.892 1
Ni1 0.093 0.500 0.677 1
# Crystal system: monoclinic
# Formation energy (eV per atom): -0.18
# DFT total energy (eV for the cell shown): -69.3

12.
# Pr2CuNi7 PBE-GGA optimized geometry
data_Pr2CuNi7
_chemical_formula_sum 'Pr2 Cu1 Ni7'
_symmetry_space_group_name_H-M 'P -4 m 2'
_symmetry_Int_Tables_number 115
_symmetry_space_group_name_Hall 'P -4 -2'
_cell_length_a 3.933
_cell_length_b 3.933
_cell_length_c 10.090
_cell_angle_alpha 90.00
_cell_angle_beta 90.00
_cell_angle_gamma 90.00
loop_
_atom_site_label
_atom_site_fract_x
_atom_site_fract_y
_atom_site_fract_z
_atom_site_occupancy
Pr1 0.000 0.500 0.245 1
Cu1 0.000 0.000 0.500 1
Ni1 0.000 0.000 0.000 1
Ni2 0.000 0.500 0.638 1
Ni3 0.000 0.500 0.866 1
Ni4 0.500 0.500 0.000 1
Ni5 0.500 0.500 0.500 1
# Crystal system: tetragonal
# Formation energy (eV per atom): -0.12
# DFT total energy (eV for the cell shown): -55.4